Here is a relaxed CuP2H crystal from Alexandria via LeMat-Bulk. Energies are from GGA-PBE.

Cell lengths 3.8492, 3.8492, 13.5048 Å; angles 90.00, 90.00, 90.00 degrees
Space group I-42d (No. 122)
Asymmetric unit:
Cu (0.0000, 0.0000, 0.0000) x4
P (0.1706, 0.2500, 0.6250) x8
H (0.0000, 0.0000, 0.5000) x4

Polymorph energy (0 for the lowest one) (meV per atom): 0.0
Total magnetic moment (μB/atom): 0.000